# Sc3ReSi (PBE, optimized geometry)
# - Raw formation energy: 0.4100 eV/atom
data_Sc3ReSi
_chemical_formula_sum 'Sc3 Re1 Si1'
_symmetry_space_group_name_H-M 'P 1'
_symmetry_Int_Tables_number 1
_cell_length_a 4.973
_cell_length_b 4.973
_cell_length_c 4.973
_cell_angle_alpha 90.00
_cell_angle_beta 90.00
_cell_angle_gamma 90.00
loop_
_symmetry_equiv_pos_as_xyz
'x,y,z'
loop_
_atom_site_label
_atom_site_type_symbol
_atom_site_fract_x
_atom_site_fract_y
_atom_site_fract_z
Si1 Si 0.500 0.500 0.500
Sc1 Sc 0.000 0.500 0.000
Sc2 Sc 0.500 0.000 0.000
Sc3 Sc 0.000 0.000 0.500
Re1 Re 0.000 0.000 0.000

***

# FeTcAg2 (PBE, optimized geometry)
# - Energy of formation from the pure elements: 0.648 eV per atom
data_FeTcAg2
_chemical_formula_sum 'Fe1 Tc1 Ag2'
_symmetry_space_group_name_H-M 'P 1'
_symmetry_Int_Tables_number 1
_cell_length_a 5.061
_cell_length_b 5.061
_cell_length_c 5.061
_cell_angle_alpha 135.34
_cell_angle_beta 135.34
_cell_angle_gamma 65.01
loop_
_symmetry_equiv_pos_as_xyz
'x,y,z'
loop_
_atom_site_label
_atom_site_type_symbol
_atom_site_fract_x
_atom_site_fract_y
_atom_site_fract_z
Ag1 Ag 0.000 0.000 0.000
Ag2 Ag 0.500 0.500 0.000
Fe1 Fe 0.250 0.750 0.500
Tc1 Tc 0.750 0.250 0.500

***

no.,mass density (g/cm3),offset from the most stable computed form (eV per atom)
1,4.71,0.000
2,9.72,0.348